No. 1
Pt5Au: optimized geometry, PBE.

Structure (POSCAR):
```
Pt5Au
1.0
-2.242 3.436 2.676
-3.859 2.985 0.439
0.175 -9.216 1.733
Au Pt
1 5
Direct
0.972 0.972 0.944
0.134 0.134 0.774
0.301 0.301 0.607
0.472 0.472 0.444
0.643 0.643 0.282
0.811 0.811 0.115
```

Energy relative to the lowest polymorph listed for this composition: 25.6 meV per atom
Total energy: -33.26 eV for the cell shown
Magnetic moment: 0.00 μB per atom

No. 2
Pt4Au3: optimized geometry, PBE.

Structure (POSCAR):
```
Pt4Au3
1.0
-1.708 1.708 10.091
1.708 -1.708 10.091
1.708 1.708 -10.091
Pt Au
4 3
Direct
0.139 0.139 0.000
0.427 0.427 0.000
0.573 0.573 0.000
0.861 0.861 0.000
0.000 0.000 0.000
0.287 0.287 0.000
0.713 0.713 0.000
```

Total energy: -33.28 eV for the cell shown
Magnetic moment: 0.00 μB per atom

No. 3
Pt4Au: optimized geometry, PBE.

Structure (POSCAR):
```
Pt4Au
1.0
-0.972 -1.349 -2.286
-2.741 -1.867 2.267
-2.724 6.904 -1.166
Pt Au
4 1
Direct
0.602 0.602 0.205
0.202 0.202 0.404
0.798 0.798 0.596
0.398 0.398 0.795
0.000 0.000 0.000
```

Energy relative to the lowest polymorph listed for this composition: 0.0 meV per atom
Total energy: -27.27 eV for the cell shown
Magnetic moment: 0.00 μB per atom

No. 4
PtAu5: optimized geometry, PBE.

Structure (POSCAR):
```
PtAu5
1.0
2.671 -4.627 0.000
2.671 4.627 0.000
0.000 0.000 4.829
Pt Au
1 5
Direct
0.000 0.000 0.000
0.000 0.500 0.500
0.333 0.667 0.000
0.500 0.000 0.500
0.500 0.500 0.500
0.667 0.333 0.000
```

Energy relative to the lowest polymorph listed for this composition: 355.8 meV per atom
Total energy: -20.17 eV for the cell shown
Magnetic moment: 0.00 μB per atom

No. 5
Pt7Au: optimized geometry, PBE.

Structure (POSCAR):
```
Pt7Au
1.0
-3.523 0.023 4.419
-1.014 -4.785 2.831
2.026 -0.671 5.233
Au Pt
1 7
Direct
0.000 0.000 0.000
0.000 0.000 0.500
0.000 0.500 0.000
0.000 0.500 0.500
0.500 0.000 0.000
0.500 0.000 0.500
0.500 0.500 0.000
0.500 0.500 0.500
```

Total energy: -45.28 eV for the cell shown
Magnetic moment: 0.00 μB per atom

No. 6
Pt5Au: optimized geometry, PBE.

Structure (POSCAR):
```
Pt5Au
1.0
7.424 -0.020 0.000
-6.904 2.730 0.000
0.000 0.000 4.819
Au Pt
1 5
Direct
0.996 0.004 0.000
0.226 0.774 0.500
0.327 0.673 0.000
0.561 0.439 0.500
0.664 0.336 0.000
0.892 0.108 0.500
```

Energy relative to the lowest polymorph listed for this composition: 73.5 meV per atom
Total energy: -32.97 eV for the cell shown
Magnetic moment: 0.00 μB per atom

The records above yield mass density values of 20.2, 19.3, 20.1, 16.4, 20.3, 20.1 g/cm³, respectively.